Entry 1:
## Ba2NiAg (PBE)

Data for a relaxed structure of Ba2NiAg.

## Properties
Calculated total energy   -12.52 eV per cell
Energy above the lowest structure with this stoichiometry   0.041 eV per atom
Energy relative to the elements   -0.01 eV per atom
Density of states at the Fermi level   1.92 states/eV per cell

Unit cell a=3.9252 b=3.9022 c=8.1097 alpha=90.00 beta=90.07 gamma=90.00
Space group P2/m (No. 10)
Unique sites:
Ba 0.0006 0.0000 0.2728
Ni 0.5000 0.5000 0.5000
Ag 0.5000 0.5000 0.0000



Entry 2:
## Ba2TbPbS5 (PBE)

Data for a relaxed structure of Ba2TbPbS5.

## Properties
Calculated total energy   -187.88 eV per cell
Density of states at the Fermi level   9.71 states/eV per cell

Unit cell a=4.2690 b=17.9617 c=13.1645 alpha=90.00 beta=90.00 gamma=90.00
Space group Cmc2_1 (No. 36)
Unique sites:
Ba 0.0000 0.1128 0.0000
Ba 0.0000 0.1407 0.6203
Tb 0.0000 0.2127 0.3304
Pb 0.0000 0.4681 0.7700
S 0.0000 0.0570 0.3880
S 0.0000 0.2845 0.9656
S 0.0000 0.3175 0.6925
S 0.0000 0.3621 0.3133
S 0.0000 0.4901 0.0785



Entry 3:
## Na2CaGaHg (PBE)

Data for a relaxed structure of Na2CaGaHg.

## Properties
Calculated total energy   -7.23 eV per cell
Energy relative to the elements   0.15 eV per atom
Density of states at the Fermi level   3.42 states/eV per cell

Unit cell a=5.5246 b=5.5246 c=5.9889 alpha=90.00 beta=90.00 gamma=90.00
Space group P4/mmm (No. 123)
Unique sites:
Na 0.0000 0.5000 0.0000
Ca 0.0000 0.0000 0.5000
Ga 0.5000 0.5000 0.5000
Hg 0.0000 0.0000 0.0000



Entry 4:
## Tm2H2Ir (PBE)

Data for a relaxed structure of Tm2H2Ir.

## Properties
Calculated total energy   -27.78 eV per cell
Density of states at the Fermi level   1.77 states/eV per cell

Unit cell a=3.2984 b=3.2984 c=6.6741 alpha=90.00 beta=90.00 gamma=90.00
Space group P4/mmm (No. 123)
Unique sites:
Tm 0.0000 0.0000 0.2384
H 0.0000 0.5000 0.0000
Ir 0.5000 0.5000 0.5000



Entry 5:
## FeAuSCl2 (PBE)

Data for a relaxed structure of FeAuSCl2.

## Properties
Calculated total energy   -16.36 eV per cell
Energy above the lowest structure with this stoichiometry   0.368 eV per atom
Density of states at the Fermi level   8.89 states/eV per cell

Unit cell a=4.8635 b=4.8635 c=5.0989 alpha=90.00 beta=90.00 gamma=90.00
Space group P4/mmm (No. 123)
Unique sites:
Fe 0.0000 0.0000 0.0000
Au 0.5000 0.5000 0.5000
S 0.5000 0.5000 0.0000
Cl 0.0000 0.5000 0.5000



Entry 6:
## TlPbCl6 (PBE)

Data for a relaxed structure of TlPbCl6.

## Properties
Calculated total energy   -67.41 eV per cell
Density of states at the Fermi level   16.46 states/eV per cell

Unit cell a=6.6649 b=6.6649 c=18.4635 alpha=90.00 beta=90.00 gamma=120.00
Space group R-3 (No. 148, hexagonal axes)
Unique sites:
Tl 0.0000 0.0000 0.0000
Pb 0.0000 0.0000 0.5000
Cl 0.0030 0.3283 0.9185



Entry 7:
## Ba3Al2Si2 (PBE)

Data for a relaxed structure of Ba3Al2Si2.

## Properties
Calculated total energy   -53.31 eV per cell
Energy above the lowest structure with this stoichiometry   0.000 eV per atom
Density of states at the Fermi level   8.45 states/eV per cell

Unit cell a=4.3125 b=5.1303 c=20.0775 alpha=90.00 beta=90.00 gamma=90.00
Space group Immm (No. 71)
Unique sites:
Ba 0.0000 0.0000 0.0000
Ba 0.0000 0.5000 0.3153
Al 0.0000 0.0000 0.4347
Si 0.0000 0.5000 0.1334



Entry 8:
## NiIr2C (PBE)

Data for a relaxed structure of NiIr2C.

## Properties
Calculated total energy   -123.43 eV per cell
Energy relative to the elements   0.47 eV per atom
Density of states at the Fermi level   19.11 states/eV per cell

Unit cell a=6.4681 b=6.4681 c=4.7787 alpha=90.00 beta=90.00 gamma=90.00
Space group I-42d (No. 122)
Unique sites:
Ni 0.0000 0.0000 0.0000
Ir 0.1558 0.2500 0.6250
C 0.0000 0.0000 0.5000



Entry 9:
## NaCdHg6 (PBE)

Data for a relaxed structure of NaCdHg6.

## Properties
Calculated total energy   -4.66 eV per cell
Energy above the lowest structure with this stoichiometry   0.014 eV per atom
Energy relative to the elements   -0.08 eV per atom
Density of states at the Fermi level   2.24 states/eV per cell

Unit cell a=5.1575 b=5.1575 c=7.8440 alpha=90.00 beta=90.00 gamma=90.00
Space group P4/mmm (No. 123)
Unique sites:
Na 0.0000 0.0000 0.0000
Cd 0.0000 0.0000 0.5000
Hg 0.0000 0.5000 0.2537
Hg 0.5000 0.5000 0.0000
Hg 0.5000 0.5000 0.5000



Entry 10:
## SmTmSc2Au4 (PBE)

Data for a relaxed structure of SmTmSc2Au4.

## Properties
Calculated total energy   -124.06 eV per cell
Energy relative to the elements   -0.80 eV per atom
Density of states at the Fermi level   13.95 states/eV per cell

Unit cell a=4.8536 b=4.8536 c=25.8908 alpha=90.00 beta=90.00 gamma=120.00
Space group R-3m (No. 166, hexagonal axes)
Unique sites:
Sm 0.0000 0.0000 0.0000
Tm 0.0000 0.0000 0.5000
Sc 0.0000 0.0000 0.2470
Au 0.0000 0.0000 0.1212
Au 0.0000 0.0000 0.3879



Entry 11:
## ReHg2As (PBE)

Data for a relaxed structure of ReHg2As.

## Properties
Calculated total energy   -28.17 eV per cell
Energy relative to the elements   0.90 eV per atom
Density of states at the Fermi level   5.92 states/eV per cell

Unit cell a=4.2287 b=4.2287 c=8.5587 alpha=90.00 beta=90.00 gamma=90.00
Space group I-4m2 (No. 119)
Unique sites:
Re 0.0000 0.0000 0.0000
Hg 0.0000 0.0000 0.5000
Hg 0.0000 0.5000 0.2500
As 0.0000 0.5000 0.7500



Entry 12:
## ScTl6Pd12 (PBE)

Data for a relaxed structure of ScTl6Pd12.

## Properties
Calculated total energy   -260.79 eV per cell
Energy relative to the elements   -0.22 eV per atom
Density of states at the Fermi level   30.71 states/eV per cell

Unit cell a=12.1162 b=12.1162 c=8.5722 alpha=90.00 beta=90.00 gamma=120.00
Space group R-3 (No. 148, hexagonal axes)
Unique sites:
Sc 0.0000 0.0000 0.0000
Tl 0.0502 0.2138 0.7383
Pd 0.0544 0.2357 0.0817
Pd 0.0607 0.2416 0.4183



Please write out number 9 again, unchanged.
## NaCdHg6 (PBE)

Data for a relaxed structure of NaCdHg6.

## Properties
Calculated total energy   -4.66 eV per cell
Energy above the lowest structure with this stoichiometry   0.014 eV per atom
Energy relative to the elements   -0.08 eV per atom
Density of states at the Fermi level   2.24 states/eV per cell

Unit cell a=5.1575 b=5.1575 c=7.8440 alpha=90.00 beta=90.00 gamma=90.00
Space group P4/mmm (No. 123)
Unique sites:
Na 0.0000 0.0000 0.0000
Cd 0.0000 0.0000 0.5000
Hg 0.0000 0.5000 0.2537
Hg 0.5000 0.5000 0.0000
Hg 0.5000 0.5000 0.5000



- calculated total energy of number 6 (TlPbCl6)?
  -67.41 eV per cell



- What is the formula in the fourth record?
  Tm2H2Ir



- What is the calculated total energy in the seventh record?
  -53.31 eV per cell